Entry 1:
The following is a DFT calculation (PBE-GGA) of ZrB2SbPb after structural relaxation.

```
ZrB2SbPb
1.0
4.645 0.000 0.000
0.000 4.645 0.000
0.000 0.000 5.576
Zr B Sb Pb
1 2 1 1
Direct
0.000 0.000 0.000
0.000 0.500 0.000
0.500 0.000 0.000
0.000 0.000 0.500
0.500 0.500 0.500
```

Computed properties:
As for the density: 6.1 g/cm3. The size of the total moment is 0.0 Bohr magnetons per cell. The value obtained for the raw formation energy is 5.4 eV/f.u. The calculation puts the density of states at the Fermi level at 3.13 states/eV/f.u.

Entry 2:
The following is a DFT calculation (PBE-GGA) of Sc2B2Pb after structural relaxation.

```
Sc2B2Pb
1.0
7.427 0.000 0.000
0.000 7.427 0.000
0.000 0.000 3.046
Sc B Pb
4 4 2
Direct
0.135 0.365 0.000
0.365 0.865 0.000
0.635 0.135 0.000
0.865 0.635 0.000
0.176 0.676 0.500
0.324 0.176 0.500
0.676 0.824 0.500
0.824 0.324 0.500
0.000 0.000 0.000
0.500 0.500 0.000
```

Computed properties:
The calculation puts the polymorph energy (0 for the lowest one) at 0.048 eV per atom. For the formation energy, the calculation gives 0.44 eV per atom. As for the density: 6.3 g/cm3. The size of the total moment is 0.0 Bohr magnetons per cell. The calculation puts the density of states at the Fermi level at 2.14 states/eV/f.u.

Entry 3:
The following is a DFT calculation (PBE-GGA) of Sc3BPb after structural relaxation.

```
Sc3BPb
1.0
5.342 0.000 0.000
0.000 5.342 0.000
0.000 0.000 5.342
Sc B Pb
3 1 1
Direct
0.000 0.000 0.500
0.000 0.500 0.000
0.500 0.000 0.000
0.500 0.500 0.500
0.000 0.000 0.000
```

Computed properties:
The calculation puts the polymorph energy (0 for the lowest one) at 1.817 eV per atom. For the formation energy, the calculation gives 1.30 eV per atom. As for the density: 3.8 g/cm3. The size of the total moment is 0.0 Bohr magnetons per cell. The calculation puts the density of states at the Fermi level at 1.30 states/eV/f.u.

Entry 4:
The following is a DFT calculation (PBE-GGA) of ScBPb2 after structural relaxation.

```
ScBPb2
1.0
0.000 3.594 3.594
3.594 0.000 3.594
3.594 3.594 0.000
Sc B Pb
1 1 2
Direct
0.000 0.000 0.000
0.500 0.500 0.500
0.250 0.250 0.250
0.750 0.750 0.750
```

Computed properties:
The calculation puts the polymorph energy (0 for the lowest one) at 0.374 eV per atom. For the formation energy, the calculation gives 0.84 eV per atom. As for the density: 8.4 g/cm3. The size of the total moment is 0.0 Bohr magnetons per cell. The calculation puts the density of states at the Fermi level at 2.69 states/eV/f.u.

Entry 5:
The following is a DFT calculation (PBE-GGA) of Sc2BPb after structural relaxation.

```
Sc2BPb
1.0
0.000 3.394 3.394
3.394 0.000 3.394
3.394 3.394 0.000
Sc B Pb
2 1 1
Direct
0.250 0.250 0.250
0.750 0.750 0.750
0.000 0.000 0.000
0.500 0.500 0.500
```

Computed properties:
The calculation puts the polymorph energy (0 for the lowest one) at 0.359 eV per atom. For the formation energy, the calculation gives 0.28 eV per atom. As for the density: 6.5 g/cm3. The size of the total moment is 0.0 Bohr magnetons per cell. The calculation puts the density of states at the Fermi level at 3.57 states/eV/f.u.

Entry 6:
The following is a DFT calculation (PBE-GGA) of ScBPb2 after structural relaxation.

```
ScBPb2
1.0
-3.753 3.753 3.118
3.753 -3.753 3.118
3.753 3.753 -3.118
Sc B Pb
2 2 4
Direct
0.000 0.000 0.000
0.750 0.250 0.500
0.250 0.750 0.500
0.500 0.500 0.000
0.191 0.625 0.066
0.375 0.441 0.566
0.559 0.125 0.934
0.875 0.809 0.434
```

Computed properties:
The calculation puts the polymorph energy (0 for the lowest one) at 0.000 eV per atom. For the formation energy, the calculation gives 0.47 eV per atom. As for the density: 8.9 g/cm3. The size of the total moment is 0.0 Bohr magnetons per cell. The calculation puts the density of states at the Fermi level at 0.21 states/eV/f.u.

Entry 7:
The following is a DFT calculation (PBE-GGA) of Sc3BPb after structural relaxation.

```
Sc3BPb
1.0
4.685 0.000 0.000
0.000 4.685 0.000
0.000 0.000 4.685
Sc B Pb
3 1 1
Direct
0.000 0.000 0.500
0.000 0.500 0.000
0.500 0.000 0.000
0.000 0.000 0.000
0.500 0.500 0.500
```

Computed properties:
The calculation puts the polymorph energy (0 for the lowest one) at 0.000 eV per atom. For the formation energy, the calculation gives -0.52 eV per atom. As for the density: 5.7 g/cm3. The size of the total moment is 0.0 Bohr magnetons per cell. The calculation puts the density of states at the Fermi level at 0.53 states/eV/f.u.

Entry 8:
The following is a DFT calculation (PBE-GGA) of Sc2BPb after structural relaxation.

```
Sc2BPb
1.0
1.673 0.966 9.797
-1.673 0.966 9.797
0.000 -1.932 9.797
Sc B Pb
2 1 1
Direct
0.080 0.080 0.080
0.920 0.920 0.920
0.000 0.000 0.000
0.500 0.500 0.500
```

Computed properties:
The calculation puts the polymorph energy (0 for the lowest one) at 0.861 eV per atom. For the formation energy, the calculation gives 0.78 eV per atom. As for the density: 5.4 g/cm3. The size of the total moment is 1.2 Bohr magnetons per cell. The calculation puts the density of states at the Fermi level at 3.56 states/eV/f.u.

Entry 9:
The following is a DFT calculation (PBE-GGA) of Sc2BPb after structural relaxation.

```
Sc2BPb
1.0
1.781 1.028 8.690
-1.781 1.028 8.690
0.000 -2.057 8.690
Sc B Pb
2 1 1
Direct
0.121 0.121 0.121
0.879 0.879 0.879
0.500 0.500 0.500
0.000 0.000 0.000
```

Computed properties:
The calculation puts the polymorph energy (0 for the lowest one) at 0.000 eV per atom. For the formation energy, the calculation gives -0.08 eV per atom. As for the density: 5.4 g/cm3. The size of the total moment is 0.0 Bohr magnetons per cell. The calculation puts the density of states at the Fermi level at 3.78 states/eV/f.u.

Entry 10:
The following is a DFT calculation (PBE-GGA) of Sc2BPb after structural relaxation.

```
Sc2BPb
1.0
-3.624 3.624 3.157
3.624 -3.624 3.157
3.624 3.624 -3.157
Sc B Pb
4 2 2
Direct
0.050 0.625 0.925
0.375 0.300 0.425
0.700 0.125 0.075
0.875 0.950 0.575
0.000 0.000 0.000
0.750 0.250 0.500
0.250 0.750 0.500
0.500 0.500 0.000
```

Computed properties:
The calculation puts the polymorph energy (0 for the lowest one) at 0.141 eV per atom. For the formation energy, the calculation gives 0.06 eV per atom. As for the density: 6.2 g/cm3. The size of the total moment is 0.0 Bohr magnetons per cell. The calculation puts the density of states at the Fermi level at 2.71 states/eV/f.u.

Entry 11:
The following is a DFT calculation (PBE-GGA) of Sc2B2Pb after structural relaxation.

```
Sc2B2Pb
1.0
-2.024 2.024 5.663
2.024 -2.024 5.663
2.024 2.024 -5.663
Sc B Pb
2 2 1
Direct
0.153 0.153 0.000
0.847 0.847 0.000
0.250 0.750 0.500
0.750 0.250 0.500
0.500 0.500 0.000
```

Computed properties:
The calculation puts the polymorph energy (0 for the lowest one) at 0.000 eV per atom. For the formation energy, the calculation gives 0.39 eV per atom. As for the density: 5.7 g/cm3. The size of the total moment is 0.0 Bohr magnetons per cell. The calculation puts the density of states at the Fermi level at 3.40 states/eV/f.u.

Entry 12:
The following is a DFT calculation (PBE-GGA) of ScB2PbSe after structural relaxation.

```
ScB2PbSe
1.0
4.365 0.000 0.000
0.000 4.365 0.000
0.000 0.000 5.039
Sc B Pb Se
1 2 1 1
Direct
0.000 0.000 0.000
0.000 0.500 0.500
0.500 0.000 0.500
0.500 0.500 0.000
0.000 0.000 0.500
```

Computed properties:
As for the density: 6.1 g/cm3. The size of the total moment is 0.0 Bohr magnetons per cell. The value obtained for the raw formation energy is 5.3 eV/f.u. The calculation puts the density of states at the Fermi level at 2.79 states/eV/f.u.

Question: Which of these has the highest size of the total moment?
Answer: number 8

Question: Which value of size of the total moment does entry 6 give?
Answer: 0.0 Bohr magnetons per cell

Question: Look up the density of the first one.
Answer: 6.1 g/cm3